Entry from Alexandria: a relaxed RbCeCr2O8 crystal (GGA+U).

a = 5.658 Å, b = 5.658 Å, c = 8.455 Å
α = 87.85°, β = 87.85°, γ = 62.81°
Sites, in units of the cell vectors:
Rb: 0.000 0.000 0.500
O: 0.311 0.311 0.594
O: 0.219 0.693 0.810
O: 0.307 0.781 0.190
O: 0.693 0.219 0.810
O: 0.781 0.307 0.190
O: 0.219 0.219 0.902
O: 0.689 0.689 0.406
O: 0.781 0.781 0.098
Cr: 0.640 0.640 0.225
Cr: 0.360 0.360 0.775
Ce: 0.000 0.000 0.000

Values from the calculation:
Its electronic total energy is -7.02 eV per atom. The value obtained for the total magnetization is 1.04 μB/f.u. The density of states at the Fermi level is 5.67 states/eV/f.u.